This record from Alexandria describes LaCe3S4 after structural relaxation. The functional is PBE.

Cell lengths 5.7300, 5.7300, 5.7300 Å; angles 90.00, 90.00, 90.00 degrees
Last column: nearest neighbours and their distance in Å.
Space group Pm-3m (No. 221)
Inequivalent atoms, fractional coordinates:
La 0.0000 0.0000 0.0000 x1  6 S 2.86
Ce 0.0000 0.5000 0.5000 x3  6 S 2.86
S 0.0000 0.0000 0.5000 x3  4 Ce 2.86, 2 La 2.86
S 0.5000 0.5000 0.5000 x1  6 Ce 2.86

Summary:
Energy, Ry per atom: -0.5123
Magnetization, μB per atom: 0.1253
Crystal system: cubic


This record from Alexandria describes LiTbHg after structural relaxation. The functional is PBE.

Cell lengths 4.8317, 4.8317, 3.3924 Å; angles 90.00, 90.00, 120.00 degrees
Last column: nearest neighbours and their distance in Å.
Space group P-6m2 (No. 187)
Inequivalent atoms, fractional coordinates:
Li 0.0000 0.0000 0.0000 x1  3 Hg 2.79
Tb 0.6667 0.3333 0.5000 x1  6 Li 3.26, 6 Hg 3.26, 2 Tb 3.39
Hg 0.3333 0.6667 0.0000 x1  3 Li 2.79

Summary:
Relative energy among the computed polymorphs, meV/atom: 61.3
Energy, Ry per atom: -0.1894
Magnetization, μB per atom: 0.0003
Crystal system: hexagonal


This record from Alexandria describes TlSe3S8 after structural relaxation. The functional is PBE.

Cell lengths 6.6368, 7.6435, 8.6847 Å; angles 94.16, 106.88, 108.90 degrees
Last column: nearest neighbours and their distance in Å.
Space group P1 (No. 1)
Inequivalent atoms, fractional coordinates:
Tl 0.0000 0.0000 0.0000 x1  2 S 2.83-2.99
Se 0.0222 0.5887 0.6656 x1  2 S 2.24-2.30
Se 0.4086 0.2043 0.7305 x1  2 S 2.23-2.28
Se 0.4108 0.6556 0.2435 x1  2 S 2.25-2.27
S 0.0298 0.0388 0.6330 x1  1 S 2.03, 1 Se 2.28
S 0.0352 0.5446 0.1160 x1  1 S 2.01, 1 Se 2.25
S 0.3926 0.6442 0.7284 x1  1 S 2.05, 1 Se 2.24
S 0.4304 0.4370 0.5884 x1  1 S 2.05, 1 Se 2.23
S 0.4603 0.1200 0.1969 x1  1 S 2.00
S 0.5180 0.8979 0.1116 x1  1 S 2.00
S 0.9454 0.3569 0.9108 x1  1 S 2.01
S 0.9697 0.7928 0.4893 x1  1 S 2.03

Summary:
Energy, Ry per atom: -0.2773
Magnetization, μB per atom: 0.0000
Crystal system: triclinic